Model one:
This record from the Alexandria database describes an optimized crystal structure of NaPaPd2. The functional is PBE-GGA.

Values from the calculation:
Space group ... R-3m
Total magnetization ... 0.0 μB/f.u.

a = 3.8234 Å, b = 3.8234 Å, c = 7.9679 Å
α = 76.12°, β = 76.12°, γ = 60.00°
Positions (direct):
1 Pd 0.2601 0.2601 0.2198
2 Pd 0.7399 0.7399 0.7802
3 Na 0.5000 0.5000 0.5000
4 Pa 0.0000 0.0000 0.0000

Model two:
This record from the Alexandria database describes an optimized crystal structure of NaPaPd2. The functional is PBE-GGA.

Values from the calculation:
Space group ... P4/mmm
Total magnetization ... 0.0 μB/f.u.

a = 3.2985 Å, b = 3.2985 Å, c = 7.7348 Å
α = 90.00°, β = 90.00°, γ = 90.00°
Positions (direct):
1 Pd 0.0000 0.0000 0.7668
2 Pd 0.0000 0.0000 0.2332
3 Pa 0.5000 0.5000 0.0000
4 Na 0.5000 0.5000 0.5000

Which one sits at the bottom of the stability order? model one does.

Model one:
This record from the Alexandria database describes an optimized crystal structure of NaPaRh2. The functional is PBE-GGA.

Values from the calculation:
Space group ... P4/mmm
Total magnetization ... 0.0 μB/f.u.

a = 3.6812 Å, b = 4.4325 Å, c = 4.4325 Å
α = 90.00°, β = 90.00°, γ = 90.00°
Positions (direct):
1 Rh 0.0000 0.5000 0.0000
2 Rh 0.0000 0.0000 0.5000
3 Na 0.5000 0.5000 0.5000
4 Pa 0.5000 0.0000 0.0000

Model two:
This record from the Alexandria database describes an optimized crystal structure of NaPaRh2. The functional is PBE-GGA.

Values from the calculation:
Space group ... P4/mmm
Total magnetization ... 0.0 μB/f.u.

a = 3.4714 Å, b = 3.4714 Å, c = 6.7310 Å
α = 90.00°, β = 90.00°, γ = 90.00°
Positions (direct):
1 Na 0.5000 0.5000 0.5000
2 Rh 0.0000 0.0000 0.7885
3 Rh 0.0000 0.0000 0.2115
4 Pa 0.5000 0.5000 0.0000

Which one sits at the bottom of the stability order? model one does.

Model one:
This record from the Alexandria database describes an optimized crystal structure of Na2PaS4. The functional is PBE-GGA.

Values from the calculation:
Space group ... I-42d
Total magnetization ... 0.4 μB/f.u.

a = 7.2683 Å, b = 7.2683 Å, c = 7.2683 Å
α = 109.24°, β = 109.24°, γ = 109.93°
Positions (direct):
1 S 0.0873 0.3505 0.3712
2 S 0.1005 0.3373 0.8712
3 S 0.6627 0.5339 0.7632
4 S 0.6495 0.0208 0.7368
5 S 0.9792 0.7161 0.6288
6 S 0.7708 0.8995 0.2368
7 S 0.2839 0.9127 0.2632
8 S 0.4661 0.2292 0.1288
9 Na 0.8750 0.5183 0.1433
10 Na 0.2683 0.1250 0.6433
11 Na 0.4817 0.6250 0.3567
12 Na 0.3750 0.7317 0.8567
13 Pa 0.0000 0.0000 0.0000
14 Pa 0.7500 0.2500 0.5000

Model two:
This record from the Alexandria database describes an optimized crystal structure of Na2PaS4. The functional is PBE-GGA.

Values from the calculation:
Space group ... Pbam
Total magnetization ... 0.0 μB/f.u.

a = 4.1622 Å, b = 7.1274 Å, c = 11.7610 Å
α = 90.00°, β = 90.00°, γ = 90.00°
Positions (direct):
1 S 0.5000 0.2714 0.9529
2 S 0.5000 0.2286 0.4529
3 S 0.0000 0.6348 0.7987
4 S 0.0000 0.1348 0.7013
5 S 0.0000 0.3652 0.2013
6 S 0.0000 0.8652 0.2987
7 S 0.5000 0.7714 0.5471
8 S 0.5000 0.7286 0.0471
9 Pa 0.0000 0.0000 0.5000
10 Pa 0.0000 0.5000 0.0000
11 Na 0.5000 0.5824 0.3143
12 Na 0.5000 0.4176 0.6857
13 Na 0.5000 0.9176 0.8143
14 Na 0.5000 0.0824 0.1857

Which one sits at the bottom of the stability order? model one does.

Model one:
This record from the Alexandria database describes an optimized crystal structure of NaPa2S4. The functional is PBE-GGA.

Values from the calculation:
Space group ... C2/m
Total magnetization ... 3.0 μB/f.u.

a = 3.9558 Å, b = 6.8976 Å, c = 8.1760 Å
α = 116.06°, β = 104.00°, γ = 90.00°
Positions (direct):
1 S 0.1410 0.8215 0.2819
2 S 0.3563 0.7085 0.7126
3 S 0.6437 0.2915 0.2874
4 S 0.8590 0.1785 0.7181
5 Na 0.0000 0.0000 0.0000
6 Pa 0.2606 0.2613 0.5212
7 Pa 0.7394 0.7387 0.4788

Model two:
This record from the Alexandria database describes an optimized crystal structure of NaPa2S4. The functional is PBE-GGA.

Values from the calculation:
Space group ... Cmcm
Total magnetization ... 1.9 μB/f.u.

a = 3.9309 Å, b = 6.7702 Å, c = 13.4094 Å
α = 90.00°, β = 90.00°, γ = 106.88°
Positions (direct):
1 S 0.9513 0.9025 0.7500
2 S 0.2308 0.4617 0.6139
3 S 0.5000 0.0000 0.5000
4 S 0.2308 0.4617 0.8861
5 S 0.7692 0.5383 0.3861
6 S 0.5000 0.0000 0.0000
7 S 0.7692 0.5383 0.1139
8 S 0.0487 0.0975 0.2500
9 Pa 0.8699 0.7399 0.5672
10 Pa 0.1301 0.2601 0.4328
11 Pa 0.1301 0.2601 0.0672
12 Pa 0.8699 0.7399 0.9328
13 Na 0.6114 0.2228 0.7500
14 Na 0.3886 0.7772 0.2500

Which one sits at the bottom of the stability order? model one does.

Model one:
This record from the Alexandria database describes an optimized crystal structure of Na2Pa2S5. The functional is PBE-GGA.

Values from the calculation:
Space group ... Cmmm
Total magnetization ... 2.0 μB/f.u.

a = 5.5108 Å, b = 8.6924 Å, c = 5.4638 Å
α = 90.00°, β = 90.00°, γ = 108.48°
Positions (direct):
1 S 0.6723 0.3446 0.0001
2 S 0.3277 0.6554 0.9999
3 S 0.0000 0.0000 0.0000
4 S 0.8387 0.6774 0.4999
5 S 0.1613 0.3226 0.5001
6 Pa 0.1582 0.3164 0.0001
7 Pa 0.8418 0.6836 0.9999
8 Na 0.3416 0.6833 0.4998
9 Na 0.6584 0.3167 0.5002

Model two:
This record from the Alexandria database describes an optimized crystal structure of Na2Pa2S5. The functional is PBE-GGA.

Values from the calculation:
Space group ... Ima2
Total magnetization ... 2.0 μB/f.u.

a = 7.4116 Å, b = 7.4318 Å, c = 10.3814 Å
α = 110.97°, β = 110.91°, γ = 90.00°
Positions (direct):
1 Pa 0.5254 0.5000 0.0000
2 Pa 0.1823 0.1718 0.5000
3 Pa 0.0254 0.0000 0.0000
4 Pa 0.6823 0.8282 0.5000
5 S 0.7096 0.5296 0.2836
6 S 0.3217 0.8455 0.5000
7 S 0.8217 0.1545 0.5000
8 S 0.4260 0.4704 0.7164
9 S 0.2096 0.2540 0.2836
10 S 0.2405 0.2213 0.9312
11 S 0.9260 0.7460 0.7164
12 S 0.8093 0.7901 0.0688
13 S 0.7405 0.2099 0.9312
14 S 0.3093 0.7787 0.0688
15 Na 0.3701 0.8653 0.7911
16 Na 0.5790 0.1347 0.2089
17 Na 0.0790 0.5742 0.2089
18 Na 0.8701 0.4258 0.7911

Which one sits at the bottom of the stability order? model two does.

Model one:
This record from the Alexandria database describes an optimized crystal structure of NaPaSb2. The functional is PBE-GGA.

Values from the calculation:
Space group ... P4/mmm
Total magnetization ... 0.7 μB/f.u.

a = 3.2667 Å, b = 5.6497 Å, c = 5.6497 Å
α = 90.00°, β = 90.00°, γ = 90.00°
Positions (direct):
1 Sb 0.0000 0.5000 0.0000
2 Sb 0.0000 0.0000 0.5000
3 Na 0.5000 0.0000 0.0000
4 Pa 0.5000 0.5000 0.5000

Model two:
This record from the Alexandria database describes an optimized crystal structure of NaPaSb2. The functional is PBE-GGA.

Values from the calculation:
Space group ... Fm-3m
Total magnetization ... 0.0 μB/f.u.

a = 5.3016 Å, b = 5.3016 Å, c = 5.3016 Å
α = 60.00°, β = 60.00°, γ = 60.00°
Positions (direct):
1 Pa 0.5000 0.5000 0.5000
2 Sb 0.2500 0.2500 0.2500
3 Sb 0.7500 0.7500 0.7500
4 Na 0.0000 0.0000 0.0000

Model three:
This record from the Alexandria database describes an optimized crystal structure of NaPaSb2. The functional is PBE-GGA.

Values from the calculation:
Space group ... R3m
Total magnetization ... 0.1 μB/f.u.

a = 4.4722 Å, b = 4.4722 Å, c = 7.9111 Å
α = 73.58°, β = 73.58°, γ = 60.00°
Positions (direct):
1 Sb 0.0748 0.0748 0.7757
2 Sb 0.2605 0.2605 0.2185
3 Na 0.4965 0.4965 0.5105
4 Pa 0.6682 0.6682 0.9954

Which one sits at the bottom of the stability order? model two does.

Model one:
This record from the Alexandria database describes an optimized crystal structure of NaPaSb2. The functional is PBE-GGA.

Values from the calculation:
Space group ... P4/mmm
Total magnetization ... 0.0 μB/f.u.

a = 3.9172 Å, b = 3.9172 Å, c = 7.2911 Å
α = 90.00°, β = 90.00°, γ = 90.00°
Positions (direct):
1 Sb 0.0000 0.0000 0.2211
2 Sb 0.0000 0.0000 0.7789
3 Na 0.5000 0.5000 0.5000
4 Pa 0.5000 0.5000 0.0000

Model two:
This record from the Alexandria database describes an optimized crystal structure of NaPaSb2. The functional is PBE-GGA.

Values from the calculation:
Space group ... R-3m
Total magnetization ... 0.0 μB/f.u.

a = 4.5301 Å, b = 4.5301 Å, c = 7.6771 Å
α = 72.84°, β = 72.84°, γ = 60.00°
Positions (direct):
1 Sb 0.7403 0.7403 0.7790
2 Sb 0.2597 0.2597 0.2210
3 Na 0.5000 0.5000 0.5000
4 Pa 0.0000 0.0000 0.0000

Which one sits at the bottom of the stability order? model one does.

Model one:
This record from the Alexandria database describes an optimized crystal structure of NaPaSe4. The functional is PBE-GGA.

Values from the calculation:
Space group ... I4_1/amd
Total magnetization ... 0.0 μB/f.u.

a = 7.4285 Å, b = 7.4285 Å, c = 7.7790 Å
α = 118.52°, β = 118.52°, γ = 90.00°
Positions (direct):
1 Na 0.0000 0.0000 0.0000
2 Na 0.7500 0.2500 0.5000
3 Se 0.6114 0.1250 0.7500
4 Se 0.1386 0.1250 0.7500
5 Se 0.8750 0.8614 0.2500
6 Se 0.6114 0.6250 0.7500
7 Se 0.3750 0.8614 0.2500
8 Se 0.1386 0.6250 0.7500
9 Se 0.8750 0.3886 0.2500
10 Se 0.3750 0.3886 0.2500
11 Pa 0.5000 0.5000 0.0000
12 Pa 0.2500 0.7500 0.5000

Model two:
This record from the Alexandria database describes an optimized crystal structure of NaPaSe4. The functional is PBE-GGA.

Values from the calculation:
Space group ... P4/nbm
Total magnetization ... 0.0 μB/f.u.

a = 6.3018 Å, b = 6.3018 Å, c = 7.6185 Å
α = 90.00°, β = 90.00°, γ = 90.00°
Positions (direct):
1 Se 0.6526 0.8474 0.2202
2 Se 0.3474 0.1526 0.2202
3 Se 0.1526 0.3474 0.7798
4 Se 0.8474 0.3474 0.2202
5 Se 0.6526 0.1526 0.7798
6 Se 0.8474 0.6526 0.7798
7 Se 0.1526 0.6526 0.2202
8 Se 0.3474 0.8474 0.7798
9 Na 0.5000 0.5000 0.5000
10 Na 0.0000 0.0000 0.5000
11 Pa 0.5000 0.5000 0.0000
12 Pa 0.0000 0.0000 0.0000

Which one sits at the bottom of the stability order? model two does.

Model one:
This record from the Alexandria database describes an optimized crystal structure of NaPa3Se6. The functional is PBE-GGA.

Values from the calculation:
Space group ... Cmc2_1
Total magnetization ... 3.8 μB/f.u.

a = 7.1702 Å, b = 8.7490 Å, c = 8.7490 Å
α = 102.11°, β = 90.00°, γ = 90.00°
Positions (direct):
1 Se 0.7244 0.9093 0.4550
2 Se 0.2244 0.0907 0.5450
3 Se 0.6739 0.2940 0.3730
4 Se 0.6739 0.6270 0.7060
5 Se 0.6188 0.2383 0.7617
6 Se 0.1739 0.7060 0.6270
7 Se 0.2381 0.0056 0.9944
8 Se 0.1188 0.7617 0.2383
9 Se 0.2244 0.4550 0.9093
10 Se 0.7381 0.9944 0.0056
11 Se 0.7244 0.5450 0.0907
12 Se 0.1739 0.3730 0.2940
13 Pa 0.9836 0.0748 0.2799
14 Pa 0.8730 0.5956 0.4044
15 Pa 0.3730 0.4044 0.5956
16 Pa 0.9836 0.7201 0.9252
17 Pa 0.4836 0.9252 0.7201
18 Pa 0.4836 0.2799 0.0748
19 Na 0.9918 0.1791 0.8209
20 Na 0.4918 0.8209 0.1791

Model two:
This record from the Alexandria database describes an optimized crystal structure of NaPa3Se6. The functional is PBE-GGA.

Values from the calculation:
Space group ... P2_1/m
Total magnetization ... 4.0 μB/f.u.

a = 4.1784 Å, b = 11.6193 Å, c = 12.1529 Å
α = 108.81°, β = 90.00°, γ = 90.00°
Positions (direct):
1 Pa 0.2500 0.8458 0.9400
2 Pa 0.7500 0.1542 0.0600
3 Pa 0.7500 0.4993 0.8316
4 Pa 0.2500 0.5007 0.1684
5 Pa 0.2500 0.3057 0.4884
6 Pa 0.7500 0.6943 0.5116
7 Na 0.2500 0.9135 0.3178
8 Na 0.7500 0.0865 0.6822
9 Se 0.2500 0.2560 0.2236
10 Se 0.2500 0.3163 0.7324
11 Se 0.7500 0.7440 0.7764
12 Se 0.2500 0.0715 0.8887
13 Se 0.7500 0.3727 0.0043
14 Se 0.7500 0.4741 0.5907
15 Se 0.2500 0.8690 0.5552
16 Se 0.2500 0.5259 0.4093
17 Se 0.2500 0.6273 0.9957
18 Se 0.7500 0.6837 0.2676
19 Se 0.7500 0.1310 0.4448
20 Se 0.7500 0.9285 0.1113

Which one sits at the bottom of the stability order? model two does.

Model one:
This record from the Alexandria database describes an optimized crystal structure of NaPa4Te8. The functional is PBE-GGA.

Values from the calculation:
Space group ... F-43m
Total magnetization ... 5.0 μB/f.u.

a = 9.0068 Å, b = 9.0068 Å, c = 9.0068 Å
α = 60.00°, β = 60.00°, γ = 60.00°
Positions (direct):
1 Te 0.6147 0.6147 0.6147
2 Te 0.1290 0.6131 0.1290
3 Te 0.6147 0.1560 0.6147
4 Te 0.1290 0.1290 0.1290
5 Te 0.1560 0.6147 0.6147
6 Te 0.6131 0.1290 0.1290
7 Te 0.6147 0.6147 0.1560
8 Te 0.1290 0.1290 0.6131
9 Pa 0.3713 0.8862 0.3713
10 Pa 0.3713 0.3713 0.8862
11 Pa 0.8862 0.3713 0.3713
12 Pa 0.3713 0.3713 0.3713
13 Na 0.7500 0.7500 0.7500

Model two:
This record from the Alexandria database describes an optimized crystal structure of NaPa4Te8. The functional is PBE-GGA.

Values from the calculation:
Space group ... C2/m
Total magnetization ... 5.0 μB/f.u.

a = 8.6272 Å, b = 8.6272 Å, c = 9.0369 Å
α = 103.52°, β = 104.10°, γ = 120.00°
Positions (direct):
1 Te 0.2000 0.0330 0.2330
2 Te 0.8000 0.9670 0.7670
3 Te 0.6975 0.5292 0.2267
4 Te 0.2989 0.9677 0.7683
5 Te 0.3025 0.4708 0.7733
6 Te 0.8006 0.4695 0.7683
7 Te 0.1994 0.5305 0.2317
8 Te 0.7011 0.0323 0.2317
9 Na 0.0000 0.5000 0.5000
10 Pa 0.7488 0.2466 0.9954
11 Pa 0.2467 0.2467 0.0000
12 Pa 0.2512 0.7534 0.0046
13 Pa 0.7533 0.7533 0.0000

Which one sits at the bottom of the stability order? model one does.

Model one:
This record from the Alexandria database describes an optimized crystal structure of NaPaTl2. The functional is PBE-GGA.

Values from the calculation:
Space group ... P4/mmm
Total magnetization ... 1.1 μB/f.u.

a = 3.2761 Å, b = 3.2761 Å, c = 9.8409 Å
α = 90.00°, β = 90.00°, γ = 90.00°
Positions (direct):
1 Tl 0.0000 0.0000 0.7472
2 Tl 0.0000 0.0000 0.2528
3 Pa 0.5000 0.5000 0.0000
4 Na 0.5000 0.5000 0.5000

Model two:
This record from the Alexandria database describes an optimized crystal structure of NaPaTl2. The functional is PBE-GGA.

Values from the calculation:
Space group ... R-3m
Total magnetization ... 0.8 μB/f.u.

a = 3.2910 Å, b = 3.2910 Å, c = 12.2420 Å
α = 82.28°, β = 82.28°, γ = 60.00°
Positions (direct):
1 Tl 0.0895 0.0895 0.7315
2 Tl 0.9105 0.9105 0.2685
3 Pa 0.0000 0.0000 0.0000
4 Na 0.5000 0.5000 0.5000

Which one sits at the bottom of the stability order? model two does.